VASP calculation (GGA-PBE) on crystalline CdAgAu3 at its relaxed geometry.

Unit cell a=4.8987 b=5.8662 c=7.0321 alpha=90.00 beta=110.03 gamma=90.00
Closest atoms and distances in Å follow each position.
Element x y z (fractional)
Cd1 0.1145 0.2500 0.2305  8 Au 2.89-3.02, 3 Ag 2.93-3.08
Cd2 0.8855 0.7500 0.7695  8 Au 2.89-3.02, 3 Ag 2.93-3.08
Ag1 0.1168 0.7500 0.2354  8 Au 2.89-3.01, 3 Cd 2.93-3.08
Ag2 0.8832 0.2500 0.7647  8 Au 2.89-3.01, 3 Cd 2.93-3.08
Au1 0.3121 0.0007 0.6227  6 Au 2.88-2.95, 3 Ag 2.95-3.01, 3 Cd 2.98-3.02
Au2 0.3121 0.4993 0.6227  6 Au 2.88-2.95, 3 Ag 2.95-3.01, 3 Cd 2.98-3.02
Au3 0.4989 0.2500 0.9979  6 Au 2.88-2.93, 2 Cd 2.89-2.90, 2 Ag 2.89-2.90
Au4 0.5011 0.7500 0.0021  6 Au 2.88-2.93, 2 Cd 2.89-2.90, 2 Ag 2.89-2.90
Au5 0.6879 0.5007 0.3773  6 Au 2.88-2.95, 3 Ag 2.95-3.01, 3 Cd 2.98-3.02
Au6 0.6879 0.9993 0.3773  6 Au 2.88-2.95, 3 Ag 2.95-3.01, 3 Cd 2.98-3.02

Calculated values
Formation energy   -0.35 eV per formula unit